Material: MgMnSi2Hg
Method: DFT, GGA-PBE
State: optimized geometry

```
data_MgMnSi2Hg
_chemical_formula_sum 'Mg1 Mn1 Si2 Hg1'
_cell_length_a 5.0365
_cell_length_b 5.0365
_cell_length_c 5.0597
_cell_angle_alpha 90.00
_cell_angle_beta 90.00
_cell_angle_gamma 90.00
_symmetry_space_group_name_H-M 'P 4/m m m'
_symmetry_Int_Tables_number 123
_symmetry_space_group_name_Hall '-P 4 2'
loop_
_atom_site_label
_atom_site_type_symbol
_atom_site_fract_x
_atom_site_fract_y
_atom_site_fract_z
_atom_site_occupancy
Mg1 Mg 0.0000 0.0000 0.0000 1
Mn1 Mn 0.5000 0.5000 0.0000 1
Si1 Si 0.0000 0.5000 0.5000 1
Hg1 Hg 0.5000 0.5000 0.5000 1
```

Calculated values
The calculation puts the energy relative to the elements, uncorrected at 1.10 eV per atom. As for the size of the total moment: 4.0 μB/f.u. The total DFT energy (no corrections) comes out at -0.1205 hartree per atom.